Cd2Hg13 | PBE-GGA | optimized geometry

Results
- space-group type = R-3m
- formation energy (eV/atom) = 0.07
- magnetization (μB per formula unit) = 0.0
- final energy (eV/atom) = -0.3158

Cell and atoms, written as extended XYZ:
```
15
Lattice="-5.158 -2.476 -5.640 5.093 -5.194 -3.410 -2.592 -6.380 4.138" Properties=species:S:1:pos:R:3 pbc="T T T"
Cd -0.768 -4.065 -1.421
Cd -1.888 -9.985 -3.491
Hg -1.328 -7.025 -2.456
Hg 1.531 -5.683 -2.671
Hg -1.765 -6.192 0.566
Hg -2.865 -4.517 -3.627
Hg 0.209 -9.533 -1.286
Hg -4.187 -8.367 -2.242
Hg -0.892 -7.859 -5.479
Hg -4.092 -12.249 -3.817
Hg -1.845 -11.902 -6.024
Hg -1.095 -13.044 -3.165
Hg -1.562 -1.006 -1.748
Hg 1.436 -1.801 -1.096
Hg -0.811 -2.148 1.111
```



Cd2Hg | PBE-GGA | optimized geometry

Results
- space-group type = I4_1/amd
- formation energy (eV/atom) = 0.04
- magnetization (μB per formula unit) = 0.0
- final energy (eV/atom) = -0.6734

Cell and atoms, written as extended XYZ:
```
6
Lattice="-3.068 -1.332 -0.296 1.080 -2.816 1.475 -4.208 2.759 12.174" Properties=species:S:1:pos:R:3 pbc="T T T"
Cd -2.561 -0.313 8.923
Cd -1.560 -1.818 5.316
Cd -1.494 -1.322 2.393
Cd -4.701 -0.068 10.960
Hg 0.000 0.000 0.000
Hg -4.135 -0.324 6.234
```



Cd2Hg | PBE-GGA | optimized geometry

Results
- space-group type = Immm
- formation energy (eV/atom) = 0.01
- magnetization (μB per formula unit) = 0.0
- final energy (eV/atom) = -0.7039

Cell and atoms, written as extended XYZ:
```
3
Lattice="-0.396 -4.624 -2.443 4.263 -3.032 0.368 -3.088 2.623 3.329" Properties=species:S:1:pos:R:3 pbc="T T T"
Hg 1.289 -2.552 -0.692
Cd 3.866 -7.653 -2.075
Cd 2.580 -5.107 -1.384
```



Cd3Hg | PBE-GGA | optimized geometry

Results
- space-group type = I4/mmm
- formation energy (eV/atom) = 0.01
- magnetization (μB per formula unit) = 0.0
- final energy (eV/atom) = -0.7475

Cell and atoms, written as extended XYZ:
```
4
Lattice="4.512 0.000 0.000 0.000 4.512 0.000 -2.256 -2.256 4.538" Properties=species:S:1:pos:R:3 pbc="T T T"
Hg 0.000 0.000 0.000
Cd 2.256 0.000 2.269
Cd 0.000 2.256 2.269
Cd 2.256 2.256 0.000
```



Cd3Hg | PBE-GGA | optimized geometry

Results
- space-group type = Fm-3m
- formation energy (eV/atom) = 0.06
- magnetization (μB per formula unit) = 0.0
- final energy (eV/atom) = -0.7028

Cell and atoms, written as extended XYZ:
```
4
Lattice="-3.432 3.697 -0.806 -4.984 -0.979 0.544 -2.580 1.992 3.934" Properties=species:S:1:pos:R:3 pbc="T T T"
Hg -2.749 1.178 0.918
Cd 0.000 0.000 0.000
Cd -5.498 2.355 1.836
Cd -8.247 3.533 2.755
```



CdHg22 | PBE-GGA | optimized geometry

Results
- space-group type = Fd-3m
- formation energy (eV/atom) = 0.02
- magnetization (μB per formula unit) = 0.0
- final energy (eV/atom) = -0.3072

Cell and atoms, written as extended XYZ:
```
46
Lattice="-9.663 6.929 -3.671 -2.593 1.139 -12.117 -10.130 -5.461 -4.735" Properties=species:S:1:pos:R:3 pbc="T T T"
Cd -5.597 0.652 -5.131
Cd 0.000 0.000 0.000
Hg -9.216 0.858 -5.945
Hg -11.157 1.710 -15.013
Hg -12.025 5.959 -9.646
Hg -12.374 -3.313 -10.442
Hg -13.963 4.261 -7.747
Hg -8.672 -0.072 -14.069
Hg -14.859 -1.532 -11.386
Hg -7.278 2.555 -7.843
Hg -14.192 -1.824 -8.270
Hg -8.552 3.114 -13.795
Hg -7.399 -0.631 -8.117
Hg -14.630 4.554 -10.864
Hg -16.826 1.548 -10.641
Hg -16.173 1.262 -7.591
Hg -5.828 2.761 -11.273
Hg -5.946 -0.357 -11.541
Hg -13.353 -1.296 -14.790
Hg -10.922 -3.040 -13.866
Hg -11.197 3.944 -5.266
Hg -9.301 5.605 -7.124
Hg -13.124 4.790 -14.267
Hg -10.575 6.164 -13.076
Hg -9.648 -3.599 -7.914
Hg -11.427 -2.142 -5.789
Hg -17.092 3.875 -16.961
Hg -16.488 0.035 -13.823
Hg -17.224 0.358 -17.263
Hg -16.355 3.552 -13.521
Hg -14.349 1.908 -15.919
Hg -19.231 2.002 -14.865
Hg -11.628 -0.294 -12.132
Hg -10.759 2.900 -8.390
Hg -11.495 3.224 -11.830
Hg -10.891 -0.617 -8.693
Hg -13.634 1.350 -9.734
Hg -8.752 1.257 -10.788
Hg -4.095 0.895 -8.624
Hg -2.798 0.326 -2.565
Hg -7.863 -2.405 -4.933
Hg -7.630 3.790 -4.401
Hg -12.695 1.060 -6.768
Hg -13.992 1.629 -12.827
Hg -8.927 4.360 -10.459
Hg -9.160 -1.835 -10.991
```



Cd3Hg4 | PBE-GGA | optimized geometry

Results
- space-group type = P6/mmm
- formation energy (eV/atom) = 0.06
- magnetization (μB per formula unit) = 0.0
- final energy (eV/atom) = -0.5081

Cell and atoms, written as extended XYZ:
```
7
Lattice="6.029 0.000 0.000 3.015 5.222 0.000 0.000 0.000 5.724" Properties=species:S:1:pos:R:3 pbc="T T T"
Cd 4.522 2.611 0.000
Cd 1.507 2.611 0.000
Cd 3.015 0.000 0.000
Hg 0.000 0.000 1.459
Hg 0.000 0.000 4.265
Hg 3.015 1.741 2.862
Hg 6.029 3.481 2.862
```



Cd5Hg | PBE-GGA | optimized geometry

Results
- space-group type = P2_1/m
- formation energy (eV/atom) = 0.01
- magnetization (μB per formula unit) = 0.0
- final energy (eV/atom) = -0.8007

Cell and atoms, written as extended XYZ:
```
12
Lattice="-3.266 2.527 -3.285 -1.975 -4.220 3.807 -1.615 7.207 7.151" Properties=species:S:1:pos:R:3 pbc="T T T"
Cd -2.856 3.698 -0.677
Cd -4.000 1.816 8.350
Cd -1.496 3.660 2.183
Cd -5.910 4.307 7.924
Cd -5.360 1.854 5.490
Cd -0.946 1.207 -0.251
Cd -2.479 1.524 4.060
Cd -4.916 6.390 5.995
Cd -4.378 3.990 3.613
Cd -1.941 -0.876 1.678
Hg -3.844 1.588 1.226
Hg -3.012 3.926 6.447
```



CdHg3 | PBE-GGA | optimized geometry

Results
- space-group type = Pm-3n
- formation energy (eV/atom) = 0.06
- magnetization (μB per formula unit) = 0.0
- final energy (eV/atom) = -0.3931

Cell and atoms, written as extended XYZ:
```
8
Lattice="-4.451 -1.425 -3.622 0.628 -5.693 1.468 -3.841 0.720 4.437" Properties=species:S:1:pos:R:3 pbc="T T T"
Cd 0.000 0.000 0.000
Cd -3.832 -3.199 1.142
Hg -1.764 -1.063 2.585
Hg -1.449 -3.909 3.320
Hg -0.799 -3.203 -0.171
Hg -3.186 -0.533 -0.702
Hg -5.106 -0.172 1.517
Hg -3.024 -3.915 -1.982
```



CdHg3 | PBE-GGA | optimized geometry

Results
- space-group type = Fm-3m
- formation energy (eV/atom) = 0.03
- magnetization (μB per formula unit) = 0.0
- final energy (eV/atom) = -0.4276

Cell and atoms, written as extended XYZ:
```
4
Lattice="-1.392 -3.953 3.240 3.616 -2.229 3.164 -0.200 0.809 5.231" Properties=species:S:1:pos:R:3 pbc="T T T"
Hg 0.506 -1.343 2.909
Hg 1.012 -2.686 5.818
Hg 1.518 -4.030 8.726
Cd 0.000 0.000 0.000
```



Cd5Hg | PBE-GGA | optimized geometry

Results
- space-group type = F-43m
- formation energy (eV/atom) = 0.09
- magnetization (μB per formula unit) = 0.0
- final energy (eV/atom) = -0.7200

Cell and atoms, written as extended XYZ:
```
6
Lattice="5.897 0.000 0.000 2.948 5.107 0.000 0.000 -3.405 4.815" Properties=species:S:1:pos:R:3 pbc="T T T"
Cd 4.424 2.554 1.806
Cd 5.897 0.000 3.611
Cd 7.369 2.554 1.806
Cd 2.948 -0.002 1.806
Cd 2.948 -1.702 4.211
Hg 0.000 0.000 0.000
```



CdHg3 | PBE-GGA | optimized geometry

Results
- space-group type = Immm
- formation energy (eV/atom) = 0.03
- magnetization (μB per formula unit) = 0.0
- final energy (eV/atom) = -0.4256

Cell and atoms, written as extended XYZ:
```
4
Lattice="-5.148 3.423 -1.874 -5.057 -2.753 -2.929 3.826 0.273 5.198" Properties=species:S:1:pos:R:3 pbc="T T T"
Hg -2.738 0.180 -1.289
Hg -7.467 0.490 -3.514
Hg -0.615 -1.240 1.134
Cd -0.661 1.848 1.662
```



| no. | DOS at the Fermi energy (states/eV/f.u.) |
| --- | --- |
| 1 | 2.60 |
| 2 | 0.94 |
| 3 | 0.70 |
| 4 | 1.22 |
| 5 | 2.70 |
| 6 | 5.11 |
| 7 | 2.35 |
| 8 | 1.77 |
| 9 | 2.04 |
| 10 | 1.30 |
| 11 | 2.15 |
| 12 | 0.98 |